The following is a DFT calculation (PBE) of a geometry-optimized Pr2HI5 structure.

- SG = Cmcm (63)
- crystal system = orthorhombic

CIF file:
```
data_Pr2HI5
_chemical_formula_sum 'Pr4 H2 I10'
_symmetry_space_group_name_H-M 'P 1'
_symmetry_Int_Tables_number 1
_cell_length_a 8.178
_cell_length_b 8.178
_cell_length_c 21.603
_cell_angle_alpha 90.00
_cell_angle_beta 90.00
_cell_angle_gamma 152.17
loop_
_symmetry_equiv_pos_as_xyz
'x,y,z'
loop_
_atom_site_label
_atom_site_type_symbol
_atom_site_fract_x
_atom_site_fract_y
_atom_site_fract_z
Pr1 Pr 0.233 0.767 0.662
Pr2 Pr 0.233 0.767 0.838
Pr3 Pr 0.767 0.233 0.162
Pr4 Pr 0.767 0.233 0.338
H1 H 0.228 0.772 0.250
H2 H 0.772 0.228 0.750
I1 I 0.119 0.881 0.127
I2 I 0.119 0.881 0.373
I3 I 0.357 0.643 0.069
I4 I 0.357 0.643 0.431
I5 I 0.408 0.592 0.250
I6 I 0.592 0.408 0.750
I7 I 0.643 0.357 0.569
I8 I 0.643 0.357 0.931
I9 I 0.881 0.119 0.627
I10 I 0.881 0.119 0.873
```

The following is a DFT calculation (PBE) of a geometry-optimized PrH2I4 structure.

- SG = Cmmm (65)
- crystal system = orthorhombic

CIF file:
```
data_PrH2I4
_chemical_formula_sum 'Pr2 H4 I8'
_symmetry_space_group_name_H-M 'P 1'
_symmetry_Int_Tables_number 1
_cell_length_a 4.797
_cell_length_b 16.216
_cell_length_c 6.356
_cell_angle_alpha 90.00
_cell_angle_beta 90.00
_cell_angle_gamma 90.00
loop_
_symmetry_equiv_pos_as_xyz
'x,y,z'
loop_
_atom_site_label
_atom_site_type_symbol
_atom_site_fract_x
_atom_site_fract_y
_atom_site_fract_z
Pr1 Pr 0.000 0.000 0.000
Pr2 Pr 0.500 0.500 0.000
H1 H 0.000 0.212 0.500
H2 H 0.000 0.788 0.500
H3 H 0.500 0.288 0.500
H4 H 0.500 0.712 0.500
I1 I 0.000 0.104 0.500
I2 I 0.000 0.370 0.000
I3 I 0.000 0.630 0.000
I4 I 0.000 0.896 0.500
I5 I 0.500 0.130 0.000
I6 I 0.500 0.396 0.500
I7 I 0.500 0.604 0.500
I8 I 0.500 0.870 0.000
```

The following is a DFT calculation (PBE) of a geometry-optimized PrH2I3 structure.

- SG = P1 (1)
- crystal system = triclinic

CIF file:
```
data_PrH2I3
_chemical_formula_sum 'Pr2 H4 I6'
_symmetry_space_group_name_H-M 'P 1'
_symmetry_Int_Tables_number 1
_cell_length_a 7.571
_cell_length_b 7.652
_cell_length_c 8.391
_cell_angle_alpha 73.70
_cell_angle_beta 73.49
_cell_angle_gamma 64.14
loop_
_symmetry_equiv_pos_as_xyz
'x,y,z'
loop_
_atom_site_label
_atom_site_type_symbol
_atom_site_fract_x
_atom_site_fract_y
_atom_site_fract_z
Pr1 Pr 0.000 0.000 0.000
Pr2 Pr 0.000 0.000 0.500
H1 H 0.302 0.645 0.039
H2 H 0.304 0.647 0.541
H3 H 0.354 0.694 0.459
H4 H 0.356 0.696 0.962
I1 I 0.311 0.041 0.162
I2 I 0.311 0.042 0.662
I3 I 0.705 0.296 0.750
I4 I 0.706 0.296 0.250
I5 I 0.950 0.697 0.338
I6 I 0.951 0.697 0.838
```

DFT total energy readings, ordered: -0.2648; -0.2139; -0.2670 Ry per atom
Total magnetization readings, ordered: 0.000; 0.090; 0.000 μB/atom